Below is a geometry-optimized TbSm5Ag4 structure, with properties calculated at the PBE-GGA level.

ΔE_f ... -213.6 meV/atom
SG ... No. 123

Lattice parameters (Å, degrees): 3.681 3.681 20.035 90.00 90.00 90.00
Fractional positions:
Tb (0.000, 0.000, 0.000)
Sm (0.500, 0.500, 0.125)
Sm (0.500, 0.500, 0.312)
Sm (0.500, 0.500, 0.500)
Sm (0.500, 0.500, 0.688)
Sm (0.500, 0.500, 0.875)
Ag (0.000, 0.000, 0.218)
Ag (0.000, 0.000, 0.406)
Ag (0.000, 0.000, 0.594)
Ag (0.000, 0.000, 0.782)

---

Below is a geometry-optimized Li5Pm structure, with properties calculated at the PBE-GGA level.

ΔE_f ... 94.0 meV/atom
SG ... No. 65

Lattice parameters (Å, degrees): 5.327 15.502 3.342 90.00 90.00 90.00
Fractional positions:
Li (0.000, 0.000, 0.000)
Li (0.000, 0.153, 0.500)
Li (0.000, 0.312, 0.000)
Li (0.000, 0.688, 0.000)
Li (0.000, 0.847, 0.500)
Li (0.500, 0.188, 0.000)
Li (0.500, 0.347, 0.500)
Li (0.500, 0.500, 0.000)
Li (0.500, 0.653, 0.500)
Li (0.500, 0.812, 0.000)
Pm (0.000, 0.500, 0.500)
Pm (0.500, 0.000, 0.500)

---

Below is a geometry-optimized NaGaSe2Br structure, with properties calculated at the PBE-GGA level.

E above lowest polymorph ... 592 meV per atom
SG ... No. 123
ΔE_f (raw) ... 0.19 eV/atom

Lattice parameters (Å, degrees): 5.417 5.417 5.519 90.00 90.00 90.00
Fractional positions:
Na (0.000, 0.000, 0.000)
Ga (0.500, 0.500, 0.500)
Se (0.000, 0.500, 0.000)
Se (0.500, 0.000, 0.000)
Br (0.000, 0.000, 0.500)

---

Below is a geometry-optimized InTcS2 structure, with properties calculated at the PBE-GGA level.

SG ... No. 166
ΔE_f (raw) ... -0.26 eV/atom

Lattice parameters (Å, degrees): 3.337 3.337 26.173 90.00 90.00 120.00
Fractional positions:
In (0.000, 0.000, 0.000)
In (0.333, 0.667, 0.667)
In (0.667, 0.333, 0.333)
Tc (0.000, 0.000, 0.500)
Tc (0.333, 0.667, 0.167)
Tc (0.667, 0.333, 0.833)
S (0.000, 0.000, 0.111)
S (0.000, 0.000, 0.889)
S (0.333, 0.667, 0.556)
S (0.333, 0.667, 0.778)
S (0.667, 0.333, 0.222)
S (0.667, 0.333, 0.444)

---

Below is a geometry-optimized SrCa3Rh structure, with properties calculated at the PBE-GGA level.

ΔE_f ... 262.4 meV/atom
E above lowest polymorph ... 490 meV per atom
SG ... No. 38

Lattice parameters (Å, degrees): 3.966 7.659 19.808 90.00 90.00 90.00
Fractional positions:
Sr (0.000, 0.000, 0.000)
Sr (0.000, 0.500, 0.500)
Ca (0.000, 0.247, 0.677)
Ca (0.000, 0.253, 0.177)
Ca (0.000, 0.747, 0.177)
Ca (0.000, 0.753, 0.677)
Ca (0.500, 0.000, 0.817)
Ca (0.500, 0.500, 0.317)
Rh (0.500, 0.000, 0.685)
Rh (0.500, 0.500, 0.185)

---

Below is a geometry-optimized LiMgCr2 structure, with properties calculated at the PBE-GGA level.

ΔE_f ... 322.1 meV/atom
SG ... No. 35

Lattice parameters (Å, degrees): 2.937 4.558 8.963 90.00 90.00 90.00
Fractional positions:
Li (0.000, 0.000, 0.000)
Li (0.500, 0.500, 0.000)
Mg (0.000, 0.500, 0.708)
Mg (0.500, 0.000, 0.708)
Cr (0.000, 0.000, 0.440)
Cr (0.000, 0.500, 0.256)
Cr (0.500, 0.000, 0.256)
Cr (0.500, 0.500, 0.440)

---

Below is a geometry-optimized K3Hg3Pd2 structure, with properties calculated at the PBE-GGA level.

ΔE_f ... -216.8 meV/atom
SG ... No. 63

Lattice parameters (Å, degrees): 6.497 6.497 16.919 90.00 90.00 135.85
Fractional positions:
K (0.068, 0.932, 0.602)
K (0.068, 0.932, 0.898)
K (0.379, 0.621, 0.750)
K (0.621, 0.379, 0.250)
K (0.932, 0.068, 0.102)
K (0.932, 0.068, 0.398)
Hg (0.319, 0.681, 0.250)
Hg (0.339, 0.661, 0.541)
Hg (0.339, 0.661, 0.959)
Hg (0.661, 0.339, 0.041)
Hg (0.661, 0.339, 0.459)
Hg (0.681, 0.319, 0.750)
Pd (0.220, 0.780, 0.104)
Pd (0.220, 0.780, 0.396)
Pd (0.780, 0.220, 0.604)
Pd (0.780, 0.220, 0.896)

---

Below is a geometry-optimized HoTcB4 structure, with properties calculated at the PBE-GGA level.

ΔE_f ... 469.4 meV/atom
E above lowest polymorph ... 1111 meV per atom
SG ... No. 216

Lattice parameters (Å, degrees): 4.468 4.468 4.468 60.00 60.00 60.00
Fractional positions:
Ho (0.000, 0.000, 0.000)
Tc (0.250, 0.250, 0.250)
B (0.052, 0.649, 0.649)
B (0.649, 0.052, 0.649)
B (0.649, 0.649, 0.052)
B (0.649, 0.649, 0.649)

---

Below is a geometry-optimized CdNiSe structure, with properties calculated at the PBE-GGA level.

E above lowest polymorph ... 478 meV per atom
SG ... No. 216
ΔE_f (raw) ... 0.40 eV/atom

Lattice parameters (Å, degrees): 6.313 6.313 6.313 90.00 90.00 90.00
Fractional positions:
Cd (0.000, 0.000, 0.000)
Cd (0.000, 0.500, 0.500)
Cd (0.500, 0.000, 0.500)
Cd (0.500, 0.500, 0.000)
Ni (0.250, 0.250, 0.250)
Ni (0.250, 0.750, 0.750)
Ni (0.750, 0.250, 0.750)
Ni (0.750, 0.750, 0.250)
Se (0.250, 0.250, 0.750)
Se (0.250, 0.750, 0.250)
Se (0.750, 0.250, 0.250)
Se (0.750, 0.750, 0.750)

---

Below is a geometry-optimized Tb2NdCu9 structure, with properties calculated at the PBE-GGA level.

ΔE_f ... -181.7 meV/atom
SG ... No. 166

Lattice parameters (Å, degrees): 8.827 8.827 8.827 34.41 34.41 34.41
Fractional positions:
Tb (0.143, 0.143, 0.143)
Tb (0.857, 0.857, 0.857)
Nd (0.000, 0.000, 0.000)
Cu (0.084, 0.581, 0.581)
Cu (0.332, 0.332, 0.332)
Cu (0.419, 0.419, 0.916)
Cu (0.419, 0.916, 0.419)
Cu (0.500, 0.500, 0.500)
Cu (0.581, 0.084, 0.581)
Cu (0.581, 0.581, 0.084)
Cu (0.668, 0.668, 0.668)
Cu (0.916, 0.419, 0.419)

---

Below is a geometry-optimized Al2PSe structure, with properties calculated at the PBE-GGA level.

E above lowest polymorph ... 59 meV per atom
SG ... No. 123
ΔE_f (raw) ... -0.41 eV/atom

Lattice parameters (Å, degrees): 3.726 3.726 5.201 90.00 90.00 90.00
Fractional positions:
Al (0.000, 0.000, 0.000)
Al (0.500, 0.500, 0.500)
P (0.000, 0.000, 0.500)
Se (0.500, 0.500, 0.000)

---

Below is a geometry-optimized Lu2Te3 structure, with properties calculated at the PBE-GGA level.

SG ... No. 160
ΔE_f (raw) ... -0.87 eV/atom

Lattice parameters (Å, degrees): 8.143 8.143 11.014 90.00 90.00 120.00
Fractional positions:
Lu (0.000, 0.000, 0.000)
Lu (0.000, 0.000, 0.330)
Lu (0.333, 0.667, 0.667)
Lu (0.333, 0.667, 0.997)
Lu (0.667, 0.333, 0.333)
Lu (0.667, 0.333, 0.664)
Te (0.005, 0.502, 0.821)
Te (0.164, 0.328, 0.154)
Te (0.164, 0.836, 0.154)
Te (0.338, 0.169, 0.488)
Te (0.498, 0.502, 0.821)
Te (0.498, 0.995, 0.821)
Te (0.672, 0.836, 0.154)
Te (0.831, 0.169, 0.488)
Te (0.831, 0.662, 0.488)

---

| no. | DFT total energy (eV for the cell shown) | ρ (g/cm3) |
| --- | --- | --- |
| 1 | -41.77 | 8.21 |
| 2 | -27.51 | 2.16 |
| 3 | -12.03 | 3.39 |
| 4 | -67.24 | 5.47 |
| 5 | -27.45 | 1.72 |
| 6 | -42.93 | 3.74 |
| 7 | -32.64 | 6.22 |
| 8 | -38.84 | 8.06 |
| 9 | -35.90 | 6.60 |
| 10 | -53.07 | 8.76 |
| 11 | -18.04 | 3.77 |
| 12 | -68.45 | 5.77 |